Record 1
TlTc2P: optimized geometry, GGA-PBE.

a = 3.6758 Å, b = 3.6758 Å, c = 6.9746 Å
α = 73.21°, β = 73.21°, γ = 52.22°
Last column: nearest neighbours and their distance in Å.
Atoms (fractional coordinates):
Tc 0.9595 0.9595 0.1675  3 P 2.32
Tc 0.6955 0.6955 0.8317  3 P 2.33-2.35
P 0.3250 0.3250 0.0026  6 Tc 2.32-2.35
Tl 0.5200 0.5200 0.4982  6 Tc 2.91-3.07, 2 Tl 3.24

* D(E_F): 3.925 states/eV/cell
* distance to the lowest polymorph of the same formula: 68 meV per atom
* E_form: 0.11 eV/atom

=====

Record 2
Pm2Zn3Pt4Au: optimized geometry, GGA-PBE.

a = 4.0899 Å, b = 4.0899 Å, c = 11.5756 Å
α = 90.00°, β = 90.00°, γ = 90.00°
Last column: nearest neighbours and their distance in Å.
Atoms (fractional coordinates):
Au 0.5000 0.5000 0.5000  4 Pt 2.73, 4 Zn 2.89
Pt 0.5000 0.5000 0.0000  4 Zn 2.54
Pt 0.5000 0.0000 0.6567  3 Zn 2.47-2.73, 2 Au 2.73
Pt 0.0000 0.5000 0.3433  3 Zn 2.47-2.73, 2 Au 2.73
Pt 0.0000 0.0000 0.0000  4 Zn 2.54
Zn 0.0000 0.0000 0.5000  4 Pt 2.73, 4 Au 2.89
Zn 0.0000 0.5000 0.1301  5 Pt 2.47-2.54
Zn 0.5000 0.0000 0.8699  5 Pt 2.47-2.54
Pm 0.5000 0.0000 0.2449  4 Pt 3.11, 4 Zn 3.18
Pm 0.0000 0.5000 0.7551  4 Pt 3.11, 4 Zn 3.18

* D(E_F): 3.596 states/eV/cell
* E_form: -0.74 eV/atom

=====

Record 3
La3Er2Tm7: optimized geometry, GGA-PBE.

a = 3.6327 Å, b = 5.5781 Å, c = 20.2826 Å
α = 90.00°, β = 95.17°, γ = 90.00°
Last column: nearest neighbours and their distance in Å.
Atoms (fractional coordinates):
Tm 0.9311 0.5000 0.8638  2 La 3.30, 2 Er 3.31, 6 Tm 3.39-3.63
Tm 0.7155 0.5000 0.4309  1 Er 3.19, 2 Tm 3.33
Tm 0.0000 0.0000 0.0000  4 La 3.33, 2 Tm 3.63
Tm 0.2845 0.5000 0.5691  1 Er 3.19, 2 Tm 3.33
Tm 0.5850 0.0000 0.1681  6 Tm 3.39-3.63, 2 Er 3.50
Tm 0.4150 0.0000 0.8319  6 Tm 3.39-3.63, 2 Er 3.50
Tm 0.0689 0.5000 0.1362  2 La 3.30, 2 Er 3.31, 6 Tm 3.39-3.63
Er 0.3622 0.5000 0.7270  5 Tm 3.19-3.50
Er 0.6378 0.5000 0.2730  5 Tm 3.19-3.50
La 0.1725 0.0000 0.3425  4 Er 3.61, 2 La 3.63, 6 Tm 3.77-3.96
La 0.8275 0.0000 0.6575  4 Er 3.61, 2 La 3.63, 6 Tm 3.77-3.96
La 0.5000 0.5000 0.0000  8 Tm 3.30-3.33, 2 La 3.63

* D(E_F): 19.788 states/eV/cell
* E_form: 0.24 eV/atom

=====

Record 4
Y2ErInN4: optimized geometry, GGA-PBE.

a = 3.4427 Å, b = 5.9617 Å, c = 5.9527 Å
α = 110.39°, β = 90.00°, γ = 90.00°
Last column: nearest neighbours and their distance in Å.
Atoms (fractional coordinates):
N 0.0000 0.7422 0.2531  3 Y 2.39-2.43, 2 Er 2.41, 1 In 2.50
N 0.5000 0.7500 0.7526  2 In 2.41, 3 Y 2.43-2.46, 1 Er 2.43
N 0.5000 0.2500 0.2474  2 In 2.41, 3 Y 2.43-2.46, 1 Er 2.43
N 0.0000 0.2578 0.7469  3 Y 2.39-2.43, 2 Er 2.41, 1 In 2.50
In 0.0000 0.0000 0.0000  6 N 2.41-2.50
Y 0.5000 0.0000 0.5000  6 N 2.43-2.46
Y 0.0000 0.5000 0.5000  6 N 2.39-2.43
Er 0.5000 0.5000 0.0000  6 N 2.41-2.43

* formation energy from raw total energies: -1.205 eV/atom

=====

Record 5
GeBiI: optimized geometry, GGA-PBE.

a = 4.2691 Å, b = 8.7730 Å, c = 7.1460 Å
α = 103.52°, β = 90.00°, γ = 75.45°
Last column: nearest neighbours and their distance in Å.
Atoms (fractional coordinates):
Bi 0.2812 0.8782 0.5011  1 Ge 2.80, 2 Bi 3.05
Bi 0.9087 0.6312 0.3224  1 Ge 2.80, 2 Bi 3.05
Ge 0.8326 0.7772 0.0108  2 Ge 2.54, 1 I 2.62, 1 Bi 2.80
Ge 0.3564 0.7309 0.8120  2 Ge 2.54, 1 I 2.62, 1 Bi 2.80
I 0.5216 0.4136 0.6973  1 Ge 2.62
I 0.6708 0.0946 0.1241  1 Ge 2.62

* formation energy from raw total energies: -0.103 eV/atom
* D(E_F): 0.493 states/eV/cell
* distance to the lowest polymorph of the same formula: 0 meV per atom

=====

Record 6
YSc2CoTe: optimized geometry, GGA-PBE.

a = 4.8452 Å, b = 4.9711 Å, c = 4.8452 Å
α = 90.00°, β = 90.00°, γ = 90.00°
Last column: nearest neighbours and their distance in Å.
Atoms (fractional coordinates):
Sc 0.5000 0.0000 0.0000  2 Co 2.42
Sc 0.0000 0.0000 0.5000  2 Co 2.42
Te 0.0000 0.5000 0.0000  2 Co 2.49
Co 0.0000 0.0000 0.0000  4 Sc 2.42, 2 Te 2.49
Y 0.5000 0.5000 0.5000  4 Te 3.43, 8 Sc 3.47

* formation energy from raw total energies: -0.146 eV/atom
* D(E_F): 5.212 states/eV/cell

=====

Record 7
CoTeRh2: optimized geometry, GGA-PBE.

a = 4.5272 Å, b = 3.0205 Å, c = 4.5988 Å
α = 88.31°, β = 90.00°, γ = 90.00°
Last column: nearest neighbours and their distance in Å.
Atoms (fractional coordinates):
Rh 0.0000 0.9911 0.9910  2 Co 2.63, 4 Rh 2.67-2.89, 2 Te 2.68
Rh 0.0000 0.5089 0.5090  2 Co 2.63, 4 Rh 2.67-2.89, 2 Te 2.68
Co 0.5000 0.7500 0.7500  4 Rh 2.63, 4 Te 2.71-2.79
Te 0.5000 0.2500 0.2500  4 Rh 2.68, 4 Co 2.71-2.79

* formation energy from raw total energies: 0.266 eV/atom
* D(E_F): 6.094 states/eV/cell

=====

Record 8
Li8Ag5Pd: optimized geometry, GGA-PBE.

a = 6.7621 Å, b = 6.7621 Å, c = 6.7621 Å
α = 107.53°, β = 113.43°, γ = 107.53°
Last column: nearest neighbours and their distance in Å.
Atoms (fractional coordinates):
Ag 0.9604 0.2614 0.0309  5 Li 2.61-2.72
Ag 0.3009 0.0705 0.0396  5 Li 2.61-2.72
Ag 0.7695 0.7386 0.6991  5 Li 2.61-2.72
Ag 0.9691 0.9295 0.2305  5 Li 2.61-2.72
Ag 0.5000 0.0000 0.5000  8 Li 2.75-2.94
Li 0.0052 0.0903 0.6532  1 Pd 2.48, 4 Ag 2.61-2.66
Li 0.5630 0.9097 0.9149  1 Pd 2.48, 4 Ag 2.61-2.66
Li 0.1052 0.6961 0.4777  1 Pd 2.63, 2 Li 2.64-2.80, 2 Ag 2.72-2.75
Li 0.7816 0.3039 0.4091  1 Pd 2.63, 2 Li 2.64-2.80, 2 Ag 2.72-2.75
Li 0.5223 0.6275 0.2184  1 Pd 2.63, 2 Li 2.64-2.80, 2 Ag 2.72-2.75
Li 0.0851 0.6480 0.9948  1 Pd 2.48, 4 Ag 2.61-2.66
Li 0.5909 0.3725 0.8948  1 Pd 2.63, 2 Li 2.64-2.80, 2 Ag 2.72-2.75
Li 0.3468 0.3520 0.4370  1 Pd 2.48, 4 Ag 2.61-2.66
Pd 0.2500 0.5000 0.7500  8 Li 2.48-2.63

* D(E_F): 3.874 states/eV/cell
* E_form: -0.13 eV/atom